A relaxed structure of AlSnRh. Source: Alexandria via LeMat-Bulk, functional PBE.

Cell and atoms, written as CIF:
```
data_AlSnRh
_cell_length_a 6.135
_cell_length_b 6.135
_cell_length_c 6.135
_cell_angle_alpha 90.00
_cell_angle_beta 90.00
_cell_angle_gamma 90.00
_space_group_name_H-M_alt 'F -4 3 m'
_space_group_IT_number 216
_space_group_name_Hall 'F -4 2 3'
loop_
_atom_site_label
_atom_site_type_symbol
_atom_site_fract_x
_atom_site_fract_y
_atom_site_fract_z
Al1 Al 0.000 0.000 0.000
Sn1 Sn 0.000 0.000 0.500
Rh1 Rh 0.250 0.250 0.250
```

ΔE_f: -1.56 eV per formula unit
VASP energy: -5.551 eV per atom